(1)
Below is a relaxed Sr2YBr crystal, with properties calculated at the PBE level.

```
Sr2YBr
1.0
-6.933 -0.319 8.648
-9.446 -1.315 5.657
-7.155 -4.143 7.390
Br Y Sr
1 1 2
Cartesian
-17.651 -4.333 16.271 Br
-5.884 -1.444 5.424 Y
-11.528 -2.830 10.627 Sr
-0.239 -0.059 0.220 Sr
```

## Properties
**Excess energy over the best structure of this formula in the dataset**: 0.000 eV/atom
**Formation energy from raw total energies**: -242 kJ/mol of formula units
**Calculated density**: 3.74 Mg/m³
**Magnetization**: 0.870 μB/f.u.
**E_tot**: -14.012 eV/cell
**Space group**: R-3m

***

(2)
Below is a relaxed Sr2YBr crystal, with properties calculated at the PBE level.

```
Sr2YBr
1.0
-0.636 -1.987 3.284
-2.649 -0.488 -2.807
5.950 -8.687 -4.104
Sr Y Br
2 1 1
Cartesian
5.713 -8.341 -3.940 Sr
-0.046 -3.569 -0.863 Sr
3.181 -4.644 -2.194 Y
2.742 -7.639 -2.786 Br
```

## Properties
**Excess energy over the best structure of this formula in the dataset**: 0.153 eV/atom
**Formation energy from raw total energies**: -183 kJ/mol of formula units
**Calculated density**: 3.71 Mg/m³
**Magnetization**: 0.000 μB/f.u.
**E_tot**: -13.399 eV/cell
**Space group**: Cmm2

***

(3)
Below is a relaxed SrY2Br crystal, with properties calculated at the PBE level.

```
SrY2Br
1.0
3.692 -0.004 0.000
-1.668 3.293 0.000
0.000 0.000 11.055
Sr Y Br
1 2 1
Cartesian
1.012 1.645 8.291 Sr
0.000 0.000 5.146 Y
0.000 0.000 0.381 Y
1.012 1.645 2.764 Br
```

## Properties
**Excess energy over the best structure of this formula in the dataset**: 0.192 eV/atom
**Formation energy from raw total energies**: -121 kJ/mol of formula units
**Calculated density**: 4.27 Mg/m³
**Magnetization**: 0.000 μB/f.u.
**E_tot**: -17.535 eV/cell
**Space group**: Cmmm

***

(4)
Below is a relaxed SrY2Br crystal, with properties calculated at the PBE level.

```
SrY2Br
1.0
-1.031 -3.418 -0.131
3.378 -0.996 -0.602
1.546 -0.852 10.089
Sr Y Br
1 2 1
Cartesian
2.333 -2.846 7.201 Sr
0.064 -0.035 0.420 Y
0.709 -0.391 4.625 Y
1.560 -2.420 2.156 Br
```

## Properties
**Excess energy over the best structure of this formula in the dataset**: 0.270 eV/atom
**Formation energy from raw total energies**: -91 kJ/mol of formula units
**Calculated density**: 4.39 Mg/m³
**Magnetization**: 0.000 μB/f.u.
**E_tot**: -17.222 eV/cell
**Space group**: P4/mmm

***

(5)
Below is a relaxed Sr2YBr2 crystal, with properties calculated at the PBE level.

```
Sr2YBr2
1.0
-2.103 4.896 -3.899
-4.661 1.520 4.423
-0.490 6.088 2.320
Sr Br Y
2 2 1
Cartesian
-4.266 5.408 3.502 Sr
-2.987 7.096 -0.659 Sr
-2.233 4.352 1.079 Br
-5.020 8.153 1.764 Br
0.000 0.000 0.000 Y
```

## Properties
**Excess energy over the best structure of this formula in the dataset**: 0.108 eV/atom
**Formation energy from raw total energies**: -345 kJ/mol of formula units
**Calculated density**: 3.53 Mg/m³
**Magnetization**: 2.448 μB/f.u.
**E_tot**: -16.753 eV/cell
**Space group**: I4/mmm

***

(6)
Below is a relaxed SrY2Br crystal, with properties calculated at the PBE level.

```
SrY2Br
1.0
-6.424 0.435 -1.527
-0.893 -0.858 3.512
0.034 5.484 1.416
Y Sr Br
2 1 1
Cartesian
0.007 5.410 1.512 Y
-0.401 2.387 2.368 Y
-3.856 3.687 2.932 Sr
-3.427 1.374 0.468 Br
```

## Properties
**Excess energy over the best structure of this formula in the dataset**: 0.231 eV/atom
**Formation energy from raw total energies**: -106 kJ/mol of formula units
**Calculated density**: 4.11 Mg/m³
**Magnetization**: 0.000 μB/f.u.
**E_tot**: -17.379 eV/cell
**Space group**: P2/m

***

(7)
Below is a relaxed Sr4YBr crystal, with properties calculated at the PBE level.

```
Sr4YBr
1.0
0.000 5.320 5.320
5.320 0.000 5.320
5.320 5.320 0.000
Sr Y Br
4 1 1
Cartesian
4.005 6.634 6.634 Sr
6.634 4.005 6.634 Sr
6.634 6.634 4.005 Sr
4.005 4.005 4.005 Sr
7.979 7.979 7.979 Y
0.000 0.000 0.000 Br
```

## Properties
**Formation energy from raw total energies**: 135 kJ/mol of formula units
**Calculated density**: 2.86 Mg/m³
**Magnetization**: 0.133 μB/f.u.
**E_tot**: -13.462 eV/cell
**Space group**: F-43m

***

(8)
Below is a relaxed SrY2Br crystal, with properties calculated at the PBE level.

```
SrY2Br
1.0
-0.172 -0.059 -3.676
3.673 -0.146 -0.170
-0.386 -9.882 0.176
Br Y Sr
1 2 1
Cartesian
-0.190 -4.861 0.087 Br
-0.009 -0.223 0.004 Y
1.650 -2.675 -1.877 Y
1.471 -7.269 -1.795 Sr
```

## Properties
**Excess energy over the best structure of this formula in the dataset**: 0.000 eV/atom
**Formation energy from raw total energies**: -195 kJ/mol of formula units
**Calculated density**: 4.28 Mg/m³
**Magnetization**: 0.000 μB/f.u.
**E_tot**: -18.302 eV/cell
**Space group**: P4mm

***

(9)
Below is a relaxed Sr2YBr crystal, with properties calculated at the PBE level.

```
Sr2YBr
1.0
4.258 -2.695 -3.595
4.109 -3.914 2.472
-0.369 -6.056 -1.226
Sr Br Y
2 1 1
Cartesian
5.999 -9.499 -1.762 Sr
2.000 -3.166 -0.587 Sr
0.000 0.000 0.000 Br
3.999 -6.333 -1.175 Y
```

## Properties
**Excess energy over the best structure of this formula in the dataset**: 0.623 eV/atom
**Formation energy from raw total energies**: -2 kJ/mol of formula units
**Calculated density**: 3.41 Mg/m³
**Magnetization**: 0.000 μB/f.u.
**E_tot**: -11.520 eV/cell
**Space group**: Fm-3m

***

(10)
Below is a relaxed SrY2Br crystal, with properties calculated at the PBE level.

```
SrY2Br
1.0
5.829 0.000 0.000
2.915 5.048 0.000
2.915 1.683 4.760
Y Br Sr
2 1 1
Cartesian
0.000 0.000 0.000 Y
2.915 1.683 1.190 Y
5.829 3.366 2.380 Br
8.744 5.048 3.570 Sr
```

## Properties
**Excess energy over the best structure of this formula in the dataset**: 0.635 eV/atom
**Formation energy from raw total energies**: 50 kJ/mol of formula units
**Calculated density**: 4.09 Mg/m³
**Magnetization**: 0.326 μB/f.u.
**E_tot**: -15.763 eV/cell
**Space group**: F-43m

***

(11)
Below is a relaxed SrY3Br crystal, with properties calculated at the PBE level.

```
SrY3Br
1.0
-5.054 1.558 -2.551
-2.044 -5.458 0.716
-2.181 1.504 5.240
Sr Br Y
1 1 3
Cartesian
0.000 0.000 0.000 Sr
-4.640 -1.198 1.702 Br
-1.091 0.752 2.620 Y
-1.022 -2.729 0.358 Y
-2.527 0.779 -1.276 Y
```

## Properties
**Excess energy over the best structure of this formula in the dataset**: 1.223 eV/atom
**Formation energy from raw total energies**: 508 kJ/mol of formula units
**Calculated density**: 3.56 Mg/m³
**Magnetization**: 0.000 μB/f.u.
**E_tot**: -17.484 eV/cell
**Space group**: Pm-3m

***

(12)
Below is a relaxed SrY2Br crystal, with properties calculated at the PBE level.

```
SrY2Br
1.0
6.583 -0.001 0.000
2.817 5.950 0.000
-4.700 -2.974 3.521
Br Y Sr
1 2 1
Cartesian
4.700 2.974 0.000 Br
1.408 2.975 1.761 Y
0.000 0.000 0.000 Y
3.291 -0.001 1.761 Sr
```

## Properties
**Excess energy over the best structure of this formula in the dataset**: 0.528 eV/atom
**Formation energy from raw total energies**: 9 kJ/mol of formula units
**Calculated density**: 4.16 Mg/m³
**Magnetization**: 2.025 μB/f.u.
**E_tot**: -16.190 eV/cell
**Space group**: I-4m2

***

(13)
Below is a relaxed SrY2Br crystal, with properties calculated at the PBE level.

```
SrY2Br
1.0
-3.109 0.504 1.902
1.354 -2.590 2.235
4.460 7.016 5.430
Y Br Sr
2 1 1
Cartesian
0.288 0.790 3.487 Y
0.102 0.160 0.124 Y
2.188 3.442 2.664 Br
2.357 4.045 6.006 Sr
```

## Properties
**Excess energy over the best structure of this formula in the dataset**: 0.000 eV/atom
**Formation energy from raw total energies**: -195 kJ/mol of formula units
**Calculated density**: 4.29 Mg/m³
**Magnetization**: 0.000 μB/f.u.
**E_tot**: -18.303 eV/cell
**Space group**: Cmm2

***

(14)
Below is a relaxed SrY2Br crystal, with properties calculated at the PBE level.

```
SrY2Br
1.0
9.297 0.000 0.000
0.000 9.297 0.000
4.648 4.648 3.235
Sr Y Br
2 4 2
Cartesian
0.000 0.000 0.000 Sr
9.297 4.648 1.617 Sr
11.621 10.833 2.426 Y
6.972 7.760 2.426 Y
3.112 6.972 0.809 Y
6.185 2.324 0.809 Y
4.648 4.648 0.000 Br
4.648 9.297 1.617 Br
```

## Properties
**Excess energy over the best structure of this formula in the dataset**: 0.273 eV/atom
**Formation energy from raw total energies**: -89 kJ/mol of formula units
**Calculated density**: 4.10 Mg/m³
**Magnetization**: 0.772 μB/f.u.
**E_tot**: -34.419 eV/cell
**Space group**: I-42d

***

(15)
Below is a relaxed Sr2YBr crystal, with properties calculated at the PBE level.

```
Sr2YBr
1.0
-0.733 4.271 -5.318
-6.000 3.318 -0.201
4.820 -1.044 4.768
Sr Y Br
2 1 1
Cartesian
-3.366 3.794 -2.759 Sr
0.000 0.000 0.000 Sr
-2.274 3.034 0.904 Y
0.360 3.510 -1.655 Br
```

## Properties
**Excess energy over the best structure of this formula in the dataset**: 0.567 eV/atom
**Formation energy from raw total energies**: -23 kJ/mol of formula units
**Calculated density**: 3.61 Mg/m³
**Magnetization**: 1.352 μB/f.u.
**E_tot**: -11.742 eV/cell
**Space group**: I4/mmm

***

(16)
Below is a relaxed Sr2YBr crystal, with properties calculated at the PBE level.

```
Sr2YBr
1.0
-6.428 -1.792 2.687
-5.008 -5.043 1.115
-0.298 -3.143 6.231
Sr Br Y
2 1 1
Cartesian
-10.973 -6.681 3.901 Sr
-6.330 -5.144 4.918 Sr
-2.933 -2.495 2.508 Br
-8.800 -7.484 7.525 Y
```

## Properties
**Excess energy over the best structure of this formula in the dataset**: 0.282 eV/atom
**Formation energy from raw total energies**: -134 kJ/mol of formula units
**Calculated density**: 3.52 Mg/m³
**Magnetization**: 0.557 μB/f.u.
**E_tot**: -12.885 eV/cell
**Space group**: C2/m

***

(17)
Below is a relaxed Sr2YBr crystal, with properties calculated at the PBE level.

```
Sr2YBr
1.0
3.829 0.000 0.000
0.000 3.829 0.000
0.000 0.000 10.261
Sr Br Y
2 1 1
Cartesian
0.000 0.000 10.019 Sr
0.000 0.000 5.371 Sr
1.915 1.915 7.695 Br
1.915 1.915 2.565 Y
```

## Properties
**Excess energy over the best structure of this formula in the dataset**: 0.049 eV/atom
**Formation energy from raw total energies**: -223 kJ/mol of formula units
**Calculated density**: 3.80 Mg/m³
**Magnetization**: 0.492 μB/f.u.
**E_tot**: -13.814 eV/cell
**Space group**: P4/mmm

***

(18)
Below is a relaxed Sr2YBr crystal, with properties calculated at the PBE level.

```
Sr2YBr
1.0
-5.878 -1.732 4.711
-1.295 -6.774 3.490
5.458 5.296 -1.382
Y Br Sr
1 1 2
Cartesian
-3.586 -4.253 4.101 Y
-2.003 -0.345 3.715 Br
0.288 -2.866 3.104 Sr
0.000 0.000 0.000 Sr
```

## Properties
**Excess energy over the best structure of this formula in the dataset**: 0.460 eV/atom
**Formation energy from raw total energies**: -65 kJ/mol of formula units
**Calculated density**: 3.45 Mg/m³
**Magnetization**: 0.002 μB/f.u.
**E_tot**: -12.174 eV/cell
**Space group**: I-4m2

***

(19)
Below is a relaxed Sr2YBr crystal, with properties calculated at the PBE level.

```
Sr2YBr
1.0
-0.003 -9.374 -1.420
7.774 -0.815 5.366
1.747 -5.553 5.001
Sr Br Y
4 2 2
Cartesian
4.747 -8.040 5.591 Sr
5.295 -3.699 4.331 Sr
1.407 -6.719 1.129 Sr
7.588 -13.025 6.843 Sr
6.703 -5.731 6.170 Br
3.886 -5.095 1.973 Br
0.000 0.000 0.000 Y
2.815 -10.011 2.777 Y
```

## Properties
**Excess energy over the best structure of this formula in the dataset**: 0.370 eV/atom
**Formation energy from raw total energies**: -99 kJ/mol of formula units
**Calculated density**: 3.40 Mg/m³
**Magnetization**: 1.011 μB/f.u.
**E_tot**: -25.060 eV/cell
**Space group**: I-42d

***

(20)
Below is a relaxed Sr2YBr crystal, with properties calculated at the PBE level.

```
Sr2YBr
1.0
-2.820 2.437 0.591
-0.336 -1.248 3.545
6.993 7.310 3.236
Y Sr Br
1 2 1
Cartesian
3.739 3.908 1.730 Y
6.700 7.004 3.100 Sr
0.313 2.571 2.943 Sr
3.574 5.980 4.452 Br
```

## Properties
**Excess energy over the best structure of this formula in the dataset**: 0.223 eV/atom
**Formation energy from raw total energies**: -156 kJ/mol of formula units
**Calculated density**: 3.78 Mg/m³
**Magnetization**: 0.000 μB/f.u.
**E_tot**: -13.118 eV/cell
**Space group**: P4mm